The following is a DFT calculation (PBE) of an optimized crystal structure of PaGa2Fe.

Computed properties:
Formation energy from the elements ... -0.1491 eV per atom
SG ... P4/mmm
Total moment ... 2.5 μB per cell

Cell: 3.106 3.106 7.005 Å, 90.00 90.00 90.00°
Site moments in Bohr magnetons follow the coordinates.
Fractional coordinates of all 4 atoms:
Pa (0.500, 0.500, 0.500)  0.66
Fe (0.500, 0.500, 0.000)  1.82
Ga (0.000, 0.000, 0.809)  -0.05
Ga (0.000, 0.000, 0.191)  -0.05


The following is a DFT calculation (PBE) of an optimized crystal structure of Rb2LiAg3Te4.

Computed properties:
SG ... P-4m2
DFT total energy ... -3.05 eV/atom
Total moment ... 0.0 μB per cell

Cell: 5.066 5.066 11.522 Å, 90.00 90.00 90.00°
Fractional coordinates of all 10 atoms:
Rb (0.500, 0.000, 0.256)
Rb (0.000, 0.500, 0.744)
Li (0.500, 0.500, 0.500)
Ag (0.000, 0.000, 0.500)
Ag (0.500, 0.000, 0.872)
Ag (0.000, 0.500, 0.128)
Te (0.500, 0.500, 0.000)
Te (0.000, 0.000, 0.000)
Te (0.500, 0.000, 0.627)
Te (0.000, 0.500, 0.373)


The following is a DFT calculation (PBE) of an optimized crystal structure of V2BWN.

Computed properties:
SG ... P4/mmm
DFT total energy ... -8.07 eV/atom
Total moment ... 0.8 μB per cell

Cell: 3.926 4.197 3.926 Å, 90.00 90.00 90.00°
Site moments in Bohr magnetons follow the coordinates.
Fractional coordinates of all 5 atoms:
B (0.000, 0.000, 0.000)  0.01
N (0.500, 0.500, 0.500)  0.01
W (0.000, 0.500, 0.000)  0.02
V (0.000, 0.000, 0.500)  0.36
V (0.500, 0.000, 0.000)  0.27


The following is a DFT calculation (PBE) of an optimized crystal structure of MgSiGe2.

Computed properties:
SG ... Fm-3m
DFT total energy ... -3.80 eV/atom
Total moment ... 0.0 μB per cell

Cell: 4.708 4.708 4.708 Å, 60.00 60.00 60.00°
Fractional coordinates of all 4 atoms:
Mg (0.000, 0.000, 0.000)
Ge (0.250, 0.250, 0.250)
Ge (0.750, 0.750, 0.750)
Si (0.500, 0.500, 0.500)


The following is a DFT calculation (PBE) of an optimized crystal structure of Mn2CrSe.

Computed properties:
SG ... Pmmm
DFT total energy ... -7.71 eV/atom
Total moment ... 2.3 μB per cell

Cell: 3.185 4.125 4.043 Å, 90.00 90.00 90.00°
Site moments in Bohr magnetons follow the coordinates.
Fractional coordinates of all 4 atoms:
Cr (0.000, 0.500, 0.500)  -2.55
Mn (0.000, 0.000, 0.000)  2.10
Mn (0.500, 0.500, 0.000)  2.74
Se (0.500, 0.000, 0.500)  0.03


The following is a DFT calculation (PBE) of an optimized crystal structure of KPa2Hg2O7.

Computed properties:
SG ... C2/m
DFT total energy ... -6.97 eV/atom
Total moment ... 0.0 μB per cell

Cell: 4.338 4.322 11.904 Å, 100.47 106.01 90.00°
Fractional coordinates of all 12 atoms:
K (0.000, 0.000, 0.000)
Pa (0.353, 0.402, 0.805)
Pa (0.647, 0.597, 0.195)
Hg (0.325, 0.768, 0.536)
Hg (0.675, 0.232, 0.464)
O (0.356, 0.904, 0.808)
O (0.791, 0.701, 0.402)
O (0.142, 0.594, 0.188)
O (0.644, 0.096, 0.192)
O (0.209, 0.299, 0.598)
O (0.858, 0.406, 0.812)
O (0.500, 0.500, 0.000)


The following is a DFT calculation (PBE) of an optimized crystal structure of Fe2AgHg.

Computed properties:
Formation energy from the elements ... 0.7574 eV per atom
SG ... I-42d
Total moment ... 11.2 μB per cell

Cell: 7.229 7.229 5.773 Å, 51.24 51.24 90.00°
Site moments in Bohr magnetons follow the coordinates.
Fractional coordinates of all 8 atoms:
Hg (0.000, 0.000, 0.000)  -0.06
Hg (0.750, 0.250, 0.500)  -0.06
Ag (0.500, 0.500, 0.000)  0.00
Ag (0.250, 0.750, 0.500)  0.00
Fe (0.621, 0.125, 0.250)  2.85
Fe (0.129, 0.625, 0.250)  2.85
Fe (0.375, 0.379, 0.750)  2.85
Fe (0.875, 0.871, 0.750)  2.86


The following is a DFT calculation (PBE) of an optimized crystal structure of EuHgPb.

Computed properties:
Formation energy from the elements ... -0.4173 eV per atom
SG ... F-43m
Total moment ... 7.0 μB per cell

Cell: 5.143 5.143 5.143 Å, 60.00 60.00 60.00°
Site moments in Bohr magnetons follow the coordinates.
Fractional coordinates of all 3 atoms:
Pb (0.000, 0.000, 0.000)  -0.02
Eu (0.500, 0.500, 0.500)  6.84
Hg (0.250, 0.250, 0.250)  -0.01


The following is a DFT calculation (PBE) of an optimized crystal structure of GdErSe.

Computed properties:
SG ... P3m1
DFT total energy ... -8.50 eV/atom
Total moment ... 8.2 μB per cell

Cell: 3.847 3.847 6.555 Å, 90.00 90.00 120.00°
Site moments in Bohr magnetons follow the coordinates.
Fractional coordinates of all 3 atoms:
Gd (0.000, 0.000, 0.048)  7.29
Se (0.667, 0.333, 0.337)  0.00
Er (0.333, 0.667, 0.614)  0.31


The following is a DFT calculation (PBE) of an optimized crystal structure of CuPdSe.

Computed properties:
SG ... Imm2
DFT total energy ... -4.28 eV/atom
Total moment ... 0.0 μB per cell

Cell: 3.472 4.387 4.387 Å, 58.29 66.69 66.69°
Fractional coordinates of all 3 atoms:
Cu (0.203, 0.297, 0.297)
Pd (0.793, 0.707, 0.707)
Se (0.004, 0.996, 0.996)


The following is a DFT calculation (PBE) of an optimized crystal structure of Pa2SbPb.

Computed properties:
SG ... R-3m
DFT total energy ... -6.78 eV/atom
Total moment ... 0.0 μB per cell

Cell: 4.397 4.397 7.637 Å, 73.27 73.27 60.00°
Fractional coordinates of all 4 atoms:
Pb (0.500, 0.500, 0.500)
Sb (0.000, 0.000, 0.000)
Pa (0.253, 0.253, 0.242)
Pa (0.747, 0.747, 0.758)


The following is a DFT calculation (PBE) of an optimized crystal structure of La5PrHo2.

Computed properties:
Formation energy from the elements ... 0.0915 eV per atom
SG ... Cmcm
Total moment ... 0.0 μB per cell

Cell: 5.299 6.254 18.979 Å, 90.00 90.00 115.07°
Fractional coordinates of all 16 atoms:
La (0.949, 0.898, 0.916)
La (0.949, 0.898, 0.584)
La (0.344, 0.688, 0.463)
La (0.344, 0.688, 0.037)
La (0.427, 0.853, 0.250)
La (0.573, 0.147, 0.750)
La (0.656, 0.312, 0.537)
La (0.656, 0.312, 0.963)
La (0.051, 0.102, 0.084)
La (0.051, 0.102, 0.416)
Pr (0.877, 0.754, 0.750)
Pr (0.123, 0.246, 0.250)
Ho (0.745, 0.490, 0.344)
Ho (0.745, 0.490, 0.156)
Ho (0.255, 0.510, 0.656)
Ho (0.255, 0.510, 0.844)


The following is a DFT calculation (PBE) of an optimized crystal structure of LiMg2InAu4.

Computed properties:
Formation energy from the elements ... -0.4909 eV per atom
SG ... R-3m
Total moment ... 0.0 μB per cell

Cell: 4.644 4.644 8.195 Å, 73.54 73.54 60.00°
Fractional coordinates of all 8 atoms:
Li (0.500, 0.500, 0.500)
Mg (0.753, 0.753, 0.742)
Mg (0.247, 0.247, 0.258)
In (0.000, 0.000, 0.000)
Au (0.382, 0.382, 0.855)
Au (0.871, 0.871, 0.386)
Au (0.129, 0.129, 0.614)
Au (0.618, 0.618, 0.145)